# Na9Ni11O20

A relaxed structure of Na9Ni11O20 (PBE+U, Alexandria).

Values from the calculation:
Total magnetic moment   13.000 μB per formula unit
V   10.1 Å³ per atom
Total DFT energy (no corrections)   -4.579 eV/atom

abc: 7.103 7.771 8.081
angles: 114.89 91.13 91.85
Space group P-1 (No. 2)
Symmetry-distinct sites (fractional):
Na (0.000, 0.000, 0.000) [1 per cell]
Na (0.096, 0.397, 0.100) [2 per cell]
Na (0.199, 0.799, 0.196) [2 per cell]
Na (0.297, 0.198, 0.297) [2 per cell]
Na (0.399, 0.596, 0.398) [2 per cell]
Ni (0.000, 0.500, 0.500) [1 per cell]
Ni (0.108, 0.898, 0.599) [2 per cell]
Ni (0.207, 0.294, 0.697) [2 per cell]
Ni (0.305, 0.699, 0.797) [2 per cell]
Ni (0.406, 0.096, 0.892) [2 per cell]
Ni (0.500, 0.000, 0.500) [1 per cell]
Ni (0.500, 0.500, 0.000) [1 per cell]
O (0.028, 0.739, 0.718) [2 per cell]
O (0.078, 0.660, 0.382) [2 per cell]
O (0.122, 0.136, 0.813) [2 per cell]
O (0.197, 0.054, 0.480) [2 per cell]
O (0.235, 0.525, 0.922) [2 per cell]
O (0.280, 0.451, 0.577) [2 per cell]
O (0.320, 0.947, 0.016) [2 per cell]
O (0.393, 0.871, 0.665) [2 per cell]
O (0.421, 0.334, 0.111) [2 per cell]
O (0.487, 0.232, 0.755) [2 per cell]